## PaCoH2 (PBE-GGA)

Data for a geometry-optimized PaCoH2 structure.

Cell and atoms, written as POSCAR:
```
PaCoH2
1.0
-2.498 -1.478 -0.719
-0.855 -2.367 1.616
-3.811 1.782 3.359
H Pa Co
2 1 1
direct
0.287 0.287 0.140
0.713 0.713 0.860
0.500 0.500 0.500
0.000 0.000 0.000
```

Computed properties:
Space-group type: R-3m (166)
DFT total energy: -5.85 eV per atom

---

## TlAu (PBE-GGA)

Data for a geometry-optimized TlAu structure.

Cell and atoms, written as POSCAR:
```
TlAu
1.0
12.231 0.000 0.000
0.000 4.251 0.000
0.000 0.000 5.791
Tl Au
6 6
direct
0.298 0.000 0.662
0.702 0.000 0.662
0.798 0.500 0.162
0.202 0.500 0.162
0.000 0.000 0.943
0.500 0.500 0.443
0.376 0.000 0.152
0.624 0.000 0.152
0.876 0.500 0.652
0.124 0.500 0.652
0.000 0.000 0.431
0.500 0.500 0.931
```

Computed properties:
Space-group type: Imm2 (44)
DFT total energy: -2.83 eV per atom

---

## Y6TcBi2 (PBE-GGA)

Data for a geometry-optimized Y6TcBi2 structure.

Cell and atoms, written as POSCAR:
```
Y6TcBi2
1.0
-2.345 -2.333 2.752
6.967 -2.521 3.798
-3.871 6.913 2.563
Y Tc Bi
6 1 2
direct
0.500 0.607 0.000
0.500 0.393 0.393
0.500 0.000 0.607
0.000 0.233 0.000
0.000 0.767 0.767
0.000 0.000 0.233
0.500 0.000 0.000
0.000 0.333 0.667
0.000 0.667 0.333
```

Computed properties:
Space-group type: P-62m (189)
DFT total energy: -6.83 eV per atom

---

## Ca4AsPBr2 (PBE-GGA)

Data for a geometry-optimized Ca4AsPBr2 structure.

Cell and atoms, written as POSCAR:
```
Ca4AsPBr2
1.0
-2.759 1.148 -3.059
-2.446 -7.005 -0.422
-4.078 3.745 5.084
Ca As P Br
4 1 1 2
direct
0.500 0.240 0.206
0.500 0.760 0.794
0.000 0.269 0.796
0.000 0.731 0.204
0.000 0.000 0.000
0.500 0.500 0.000
0.500 0.000 0.500
0.000 0.500 0.500
```

Computed properties:
Space-group type: P2/m (10)
Uncorrected formation energy: -1.553 eV per atom

---

## LaIn12Ni6 (PBE-GGA)

Data for a geometry-optimized LaIn12Ni6 structure.

Cell and atoms, written as POSCAR:
```
LaIn12Ni6
1.0
7.664 -0.048 -0.068
-1.946 7.413 -0.068
-1.946 -2.507 6.977
La In Ni
1 12 6
direct
0.000 0.000 0.000
0.880 0.120 0.500
0.837 0.579 0.579
0.579 0.579 0.837
0.421 0.163 0.421
0.421 0.421 0.163
0.163 0.421 0.421
0.120 0.500 0.880
0.500 0.880 0.120
0.120 0.880 0.500
0.880 0.500 0.120
0.500 0.120 0.880
0.579 0.837 0.579
0.696 0.268 0.268
0.268 0.268 0.696
0.268 0.696 0.268
0.732 0.732 0.304
0.304 0.732 0.732
0.732 0.304 0.732
```

Computed properties:
Space-group type: R-3m (166)
DFT total energy: -3.91 eV per atom

---

## ZnAsSe (PBE-GGA)

Data for a geometry-optimized ZnAsSe structure.

Cell and atoms, written as POSCAR:
```
ZnAsSe
1.0
-4.257 -0.417 -3.921
-5.295 -2.297 0.599
3.892 3.583 2.384
As Se Zn
1 1 1
direct
0.054 0.054 0.000
0.287 0.287 0.000
0.659 0.659 0.000
```

Computed properties:
Space-group type: I4mm (107)
Uncorrected formation energy: 0.104 eV per atom

---

## ThGa3Os (PBE-GGA)

Data for a geometry-optimized ThGa3Os structure.

Cell and atoms, written as POSCAR:
```
ThGa3Os
1.0
4.115 0.000 0.000
0.000 4.115 0.000
0.000 0.000 5.829
Th Ga Os
1 3 1
direct
0.500 0.500 0.887
0.000 0.000 0.633
0.500 0.000 0.344
0.000 0.500 0.344
0.000 0.000 0.056
```

Computed properties:
Space-group type: P4mm (99)
DFT total energy: -5.84 eV per atom

---

## Na3In4Ag8 (PBE-GGA)

Data for a geometry-optimized Na3In4Ag8 structure.

Cell and atoms, written as POSCAR:
```
Na3In4Ag8
1.0
-6.432 -7.148 -1.447
3.092 -9.112 -1.402
-1.420 -6.728 6.876
Na In Ag
6 8 16
direct
0.728 0.728 0.272
0.272 0.272 0.728
0.728 0.272 0.272
0.272 0.728 0.728
0.728 0.272 0.728
0.272 0.728 0.272
0.000 0.000 0.000
0.500 0.500 0.000
0.000 0.000 0.500
0.500 0.000 0.000
0.000 0.500 0.500
0.500 0.000 0.500
0.000 0.500 0.000
0.500 0.500 0.500
0.638 0.121 0.121
0.362 0.879 0.879
0.121 0.121 0.638
0.121 0.121 0.121
0.879 0.879 0.362
0.879 0.879 0.879
0.121 0.638 0.121
0.879 0.362 0.879
0.009 0.330 0.330
0.991 0.670 0.670
0.330 0.330 0.009
0.330 0.330 0.330
0.670 0.670 0.991
0.670 0.670 0.670
0.330 0.009 0.330
0.670 0.991 0.670
```

Computed properties:
Space-group type: Fm-3m (225)
DFT total energy: -2.56 eV per atom

---

## Rb2BaNiBr (PBE-GGA)

Data for a geometry-optimized Rb2BaNiBr structure.

Cell and atoms, written as POSCAR:
```
Rb2BaNiBr
1.0
6.427 0.000 0.000
0.000 5.683 0.000
0.000 0.000 6.427
Ni Br Ba Rb
1 1 1 2
direct
0.000 0.000 0.000
0.500 0.500 0.500
0.000 0.500 0.000
0.000 0.000 0.500
0.500 0.000 0.000
```

Computed properties:
Space-group type: P4/mmm (123)
Uncorrected formation energy: -0.174 eV per atom

---

## RhSe2Br (PBE-GGA)

Data for a geometry-optimized RhSe2Br structure.

Cell and atoms, written as POSCAR:
```
RhSe2Br
1.0
-5.560 4.785 2.899
-2.650 5.086 5.416
-2.592 7.134 2.146
Rh Se Br
1 2 1
direct
0.500 0.500 0.500
0.885 0.885 0.885
0.115 0.115 0.115
0.000 0.000 0.000
```

Computed properties:
Space-group type: R-3m (166)
Uncorrected formation energy: -0.312 eV per atom

---

## Pm2HfN (PBE-GGA)

Data for a geometry-optimized Pm2HfN structure.

Cell and atoms, written as POSCAR:
```
Pm2HfN
1.0
-0.845 -1.182 3.101
-1.861 -2.860 0.294
6.911 -6.412 1.329
N Hf Pm
1 1 2
direct
0.500 0.500 0.500
0.000 0.000 0.000
0.116 0.116 0.652
0.884 0.884 0.348
```

Computed properties:
Space-group type: R-3m (166)
Uncorrected formation energy: -0.328 eV per atom

---

## LiYSb2Te (PBE-GGA)

Data for a geometry-optimized LiYSb2Te structure.

Cell and atoms, written as POSCAR:
```
LiYSb2Te
1.0
-3.643 4.052 -2.037
-3.782 -1.273 4.232
2.533 4.023 3.473
Y Sb Te Li
1 2 1 1
direct
0.000 0.000 0.000
0.000 0.500 0.000
0.500 0.000 0.000
0.000 0.000 0.500
0.500 0.500 0.500
```

Computed properties:
Space-group type: P4/mmm (123)
Uncorrected formation energy: -0.043 eV per atom